[1]
NiIrRh2 | Alexandria via LeMat-Bulk | SCAN | single point on PBEsol structure; distance to the lowest polymorph of the same formula = 2.8 kJ per mole of atoms; V = 52 Å³ per cell; Fermi-level density of states = 4.454 states/eV/f.u.
1.0
2.669 0.000 0.000
0.000 2.669 0.000
0.000 0.000 7.243
Ni Ir Rh
1 1 2
Direct
0.000 0.000 0.000
0.500 0.500 0.761
0.000 0.000 0.501
0.500 0.500 0.240

***

[2]
Ni2IrRh | Alexandria via LeMat-Bulk | SCAN | single point on PBEsol structure; distance to the lowest polymorph of the same formula = 4.5 kJ per mole of atoms; V = 49 Å³ per cell; Fermi-level density of states = 4.420 states/eV/f.u.
1.0
2.628 -3.513 0.000
2.628 3.513 0.000
0.000 0.000 2.630
Ni Ir Rh
2 1 1
Direct
0.000 0.500 0.000
0.500 0.000 0.000
0.000 0.000 0.500
0.500 0.500 0.500

***

[3]
NiIrRh2 | Alexandria via LeMat-Bulk | SCAN | single point on PBEsol structure; distance to the lowest polymorph of the same formula = 32.3 kJ per mole of atoms; V = 53 Å³ per cell; Fermi-level density of states = 4.478 states/eV/f.u.
1.0
0.000 2.975 2.975
2.975 0.000 2.975
2.975 2.975 0.000
Ni Ir Rh
1 1 2
Direct
0.000 0.000 0.000
0.750 0.750 0.750
0.250 0.250 0.250
0.500 0.500 0.500

***

[4]
NiIrRh2 | Alexandria via LeMat-Bulk | SCAN | single point on PBEsol structure; distance to the lowest polymorph of the same formula = 1.5 kJ per mole of atoms; V = 52 Å³ per cell; Fermi-level density of states = 4.338 states/eV/f.u.
1.0
4.366 -1.333 0.000
4.366 1.333 0.000
-0.814 0.000 4.443
Ni Ir Rh
1 1 2
Direct
0.000 0.000 0.000
0.500 0.500 0.500
0.251 0.251 0.753
0.749 0.749 0.247

***

[5]
Ni2IrRh | Alexandria via LeMat-Bulk | SCAN | single point on PBEsol structure; distance to the lowest polymorph of the same formula = 1.9 kJ per mole of atoms; V = 49 Å³ per cell; Fermi-level density of states = 4.497 states/eV/f.u.
1.0
4.289 -1.322 0.000
4.289 1.322 0.000
-0.822 0.000 4.292
Ni Ir Rh
2 1 1
Direct
0.000 0.000 0.000
0.747 0.747 0.237
0.496 0.496 0.492
0.248 0.248 0.740

***

[6]
Ni2IrRh | Alexandria via LeMat-Bulk | SCAN | single point on PBEsol structure; distance to the lowest polymorph of the same formula = 0.0 kJ per mole of atoms; V = 48 Å³ per cell; Fermi-level density of states = 4.173 states/eV/f.u.
1.0
-1.806 1.806 3.712
1.806 -1.806 3.712
1.806 1.806 -3.712
Ni Ir Rh
2 1 1
Direct
0.000 0.000 0.000
0.750 0.250 0.500
0.250 0.750 0.500
0.500 0.500 0.000

***

Summary of formation energy in eV/atom
0.02, 0.04, 0.32, 0.01, 0.02, 0.00
(order as listed above)
Summary of total magnetic moment in μB per formula unit
0.0, 0.0, 0.0, 0.0, 0.0, 0.0
(order as listed above)